A relaxed BaThTiN3 crystal. Source: Alexandria, functional PBE-GGA.

a = 3.741 Å, b = 8.005 Å, c = 8.055 Å
α = 100.44°, β = 90.00°, γ = 90.00°
Sites, in units of the cell vectors:
N  0.250  0.848  0.477
N  0.750  0.435  0.125
N  0.750  0.856  0.165
N  0.250  0.565  0.875
N  0.250  0.144  0.835
N  0.750  0.152  0.523
Ba  0.750  0.824  0.808
Ba  0.250  0.176  0.192
Th  0.250  0.637  0.166
Th  0.750  0.363  0.834
Ti  0.750  0.902  0.406
Ti  0.250  0.098  0.594

## Properties
The density of states at the Fermi level is 0.246 states/eV/atom. The magnetic moment comes out at 0.00 μB per formula unit. The calculation puts the total energy at -0.30336 hartree per atom.